Record 1
MgZnAg | PBE | relaxed

a b c (Å): 5.247 5.549 7.403
angles (deg): 90.00 90.00 90.00
Space group Imma (No. 74)
Unique sites:
1 Mg 0.000 0.250 0.122 (multiplicity 4)
2 Zn 0.250 0.250 0.750 (multiplicity 4)
3 Ag 0.000 0.000 0.500 (multiplicity 4)

Results
The crystal system is orthorhombic. For the total energy, the calculation gives -24.905 eV per cell.

Record 2
CrIrCl2 | PBE | relaxed

a b c (Å): 4.467 4.467 3.275
angles (deg): 90.00 90.00 90.00
Space group P4/mmm (No. 123)
Unique sites:
1 Cr 0.000 0.000 0.000 (multiplicity 1)
2 Ir 0.500 0.500 0.000 (multiplicity 1)
3 Cl 0.000 0.500 0.500 (multiplicity 2)

Results
The crystal system is tetragonal. The raw formation energy is 279 kJ/mol of formula units. For the total energy, the calculation gives -19.284 eV per cell.

Record 3
Ca5CuHg2 | PBE | relaxed

a b c (Å): 8.233 12.887 4.631
angles (deg): 90.00 90.00 90.00
Space group Pbam (No. 55)
Unique sites:
1 Ca 0.000 0.000 0.000 (multiplicity 2)
2 Ca 0.150 0.297 0.000 (multiplicity 4)
3 Ca 0.181 0.582 0.500 (multiplicity 4)
4 Cu 0.000 0.500 0.000 (multiplicity 2)
5 Hg 0.067 0.831 0.500 (multiplicity 4)

Results
The crystal system is orthorhombic. For the total energy, the calculation gives -34.257 eV per cell.

Record 4
ScTi2BiC | PBE | relaxed

a b c (Å): 4.265 4.265 4.664
angles (deg): 90.00 90.00 90.00
Space group P4/mmm (No. 123)
Unique sites:
1 Sc 0.000 0.000 0.000 (multiplicity 1)
2 Ti 0.000 0.500 0.500 (multiplicity 2)
3 Bi 0.500 0.500 0.000 (multiplicity 1)
4 C 0.000 0.000 0.500 (multiplicity 1)

Results
The crystal system is tetragonal. For the total energy, the calculation gives -37.445 eV per cell.

Record 5
PmCdSn4 | PBE | relaxed

a b c (Å): 8.752 8.752 8.752
angles (deg): 90.00 90.00 90.00
Space group F-43m (No. 216)
Unique sites:
1 Pm 0.000 0.000 0.000 (multiplicity 4)
2 Cd 0.250 0.250 0.250 (multiplicity 4)
3 Sn 0.125 0.125 0.625 (multiplicity 16)

Results
The crystal system is cubic. For the total energy, the calculation gives -91.000 eV per cell.

Record 6
Li6MgIn12 | PBE | relaxed

a b c (Å): 13.1215 13.1215 9.1608
angles (deg): 90.00 90.00 120.00
Space group R-3 (No. 148, hexagonal axes)
Unique sites:
1 Li 0.0368 0.2423 0.0606 (multiplicity 18)
2 Mg 0.0000 0.0000 0.5000 (multiplicity 3)
3 In 0.0411 0.1678 0.7672 (multiplicity 18)
4 In 0.0657 0.2586 0.4425 (multiplicity 18)

Results
The crystal system is trigonal. For the total energy, the calculation gives -143.957 eV per cell.

no.,theoretical density (g/cm³)
1,6.09
2,8.01
3,4.50
4,7.08
5,7.26
6,5.27